Entry 1:
Density functional theory data (PBE) for a relaxed structure of TaSnTe2I.

Geometry as POSCAR:
```
TaSnTe2I
1.0
5.8012 0.0000 0.0000
0.0000 5.8012 0.0000
0.0000 0.0000 5.6509
Ta Sn Te I
1 1 2 1
direct
0.0000 0.0000 0.0000
0.5000 0.5000 0.0000
0.0000 0.5000 0.5000
0.5000 0.0000 0.5000
0.5000 0.5000 0.5000
```

- ΔE_f (raw) (kJ per mole of atoms) = 165
- D(E_F) (states/eV/cell) = 5.76
- calculated volume (Å³/atom) = 38.0
- uncorrected energy (eV per formula unit) = -15.1
- total magnetic moment (μB/f.u.) = 2.9

Entry 2:
Density functional theory data (PBE) for a relaxed structure of Rb2CeAu2O6.

Geometry as POSCAR:
```
Rb2CeAu2O6
1.0
5.9829 -2.8806 0.0000
5.9829 2.8806 0.0000
-4.6779 0.0000 6.5092
Rb Ce Au O
2 1 2 6
direct
0.2117 0.2117 0.1154
0.7883 0.7883 0.8846
0.0000 0.0000 0.5000
0.4001 0.4001 0.7107
0.5999 0.5999 0.2893
0.2376 0.2376 0.7082
0.2393 0.7041 0.2778
0.2959 0.7607 0.7222
0.7041 0.2393 0.2778
0.7607 0.2959 0.7222
0.7624 0.7624 0.2918
```

- ΔE_f (raw) (kJ per mole of atoms) = -117
- D(E_F) (states/eV/cell) = 0.32
- calculated volume (Å³/atom) = 20.4
- uncorrected energy (eV per formula unit) = -57.5
- total magnetic moment (μB/f.u.) = 0.0

Entry 3:
Density functional theory data (PBE) for a relaxed structure of Tl2OsAu.

Geometry as POSCAR:
```
Tl2OsAu
1.0
3.1541 0.0000 0.0000
0.0000 5.4679 0.0000
0.0000 0.0000 9.5910
Tl Os Au
4 2 2
direct
0.0000 0.0000 0.2389
0.0000 0.0000 0.7611
0.5000 0.5000 0.2389
0.5000 0.5000 0.7611
0.0000 0.5000 0.0000
0.5000 0.0000 0.0000
0.0000 0.5000 0.5000
0.5000 0.0000 0.5000
```

- D(E_F) (states/eV/cell) = 6.80
- calculated volume (Å³/atom) = 20.7
- uncorrected energy (eV per formula unit) = -16.1
- total magnetic moment (μB/f.u.) = 0.0